No. 1
The following is a DFT calculation (GGA-PBEsol) of a relaxed ScTl2Pb crystal.

a b c (Å): 11.5939 3.5023 5.4612
angles (deg): 90.00 114.97 90.00
Last column: nearest neighbours and their distance in Å.
Space group Cm (No. 8)
Symmetry-distinct sites (fractional):
Sc1 0.0000 0.0000 0.0000  7 Tl 3.09-3.45, 3 Pb 3.18-3.20
Tl1 0.0123 0.5000 0.4769  4 Sc 3.09-3.40, 3 Tl 3.19-3.25, 3 Pb 3.27-3.43
Tl2 0.2679 0.0000 0.6050  3 Sc 3.17-3.45, 5 Tl 3.19-3.50, 4 Pb 3.25-3.26
Pb1 0.2432 0.5000 0.0842  3 Sc 3.18-3.20, 7 Tl 3.25-3.43, 2 Pb 3.50

## Properties
Calculated formation energy ... -0.14 eV/atom
V ... 201.0 Å³/cell

No. 2
The following is a DFT calculation (GGA-PBEsol) of a relaxed La3CuPb crystal.

a b c (Å): 5.4533 5.4533 5.4533
angles (deg): 90.00 90.00 90.00
Last column: nearest neighbours and their distance in Å.
Space group Pm-3m (No. 221)
Symmetry-distinct sites (fractional):
La1 0.0000 0.0000 0.5000  2 Cu 2.73
Cu1 0.0000 0.0000 0.0000  6 La 2.73
Pb1 0.5000 0.5000 0.5000  12 La 3.86

## Properties
Calculated formation energy ... -0.09 eV/atom
V ... 162.2 Å³/cell

No. 3
The following is a DFT calculation (GGA-PBEsol) of a relaxed HgBH2Pt crystal.

a b c (Å): 3.3734 3.3734 5.4578
angles (deg): 90.00 90.00 90.00
Last column: nearest neighbours and their distance in Å.
Space group P4/mmm (No. 123)
Symmetry-distinct sites (fractional):
Hg1 0.0000 0.0000 0.0000  4 B 2.39
B1 0.5000 0.5000 0.0000  4 Hg 2.39
H1 0.0000 0.5000 0.5000  2 Pt 1.69
Pt1 0.0000 0.0000 0.5000  4 H 1.69

## Properties
E_tot ... -3.506 eV per atom
V ... 62.1 Å³/cell

No. 4
The following is a DFT calculation (GGA-PBEsol) of a relaxed AgMo2P crystal.

a b c (Å): 2.8639 2.8639 26.1719
angles (deg): 90.00 90.00 120.00
Last column: nearest neighbours and their distance in Å.
Space group R3m (No. 160, hexagonal axes)
Symmetry-distinct sites (fractional):
Ag1 0.0000 0.0000 0.0000  3 P 2.86, 6 Ag 2.86, 3 Mo 2.92
Mo1 0.0000 0.0000 0.5104  3 P 2.41
Mo2 0.0000 0.0000 0.7584  9 Mo 2.78-2.86, 3 Ag 2.92
P1 0.0000 0.0000 0.2443  3 Mo 2.41

## Properties
Calculated formation energy ... 0.18 eV/atom
V ... 185.9 Å³/cell

No. 5
The following is a DFT calculation (GGA-PBEsol) of a relaxed Os2AuSe crystal.

a b c (Å): 2.8142 4.7023 4.7227
angles (deg): 90.00 90.00 90.00
Last column: nearest neighbours and their distance in Å.
Space group Pmmm (No. 47)
Symmetry-distinct sites (fractional):
Os1 0.0000 0.0000 0.0000  4 Se 2.74, 6 Os 2.75-2.81
Os2 0.5000 0.0000 0.5000  4 Au 2.74, 6 Os 2.75-2.81
Au1 0.0000 0.5000 0.5000  4 Os 2.74, 4 Se 2.75, 2 Au 2.81
Se1 0.5000 0.5000 0.0000  4 Os 2.74, 4 Au 2.75, 2 Se 2.81

## Properties
Formation energy from raw total energies ... 0.954 eV per atom
V ... 62.5 Å³/cell

No. 6
The following is a DFT calculation (GGA-PBEsol) of a relaxed CuRh crystal.

a b c (Å): 9.4068 2.6736 4.4478
angles (deg): 90.00 115.91 90.00
Last column: nearest neighbours and their distance in Å.
Space group C2/m (No. 12)
Symmetry-distinct sites (fractional):
Cu1 0.1280 0.0000 0.4557  5 Cu 2.53-2.67, 7 Rh 2.57-2.66
Rh1 0.1238 0.5000 0.9465  5 Rh 2.57-2.67, 7 Cu 2.57-2.66

## Properties
Calculated formation energy ... 0.10 eV/atom
V ... 100.6 Å³/cell

No. 7
The following is a DFT calculation (GGA-PBEsol) of a relaxed ScAlSb2 crystal.

a b c (Å): 7.1355 7.1355 7.1355
angles (deg): 90.00 90.00 90.00
Last column: nearest neighbours and their distance in Å.
Space group Fm-3m (No. 225)
Symmetry-distinct sites (fractional):
Sc1 0.0000 0.0000 0.0000  8 Sb 3.09
Al1 0.0000 0.0000 0.5000  8 Sb 3.09
Sb1 0.2500 0.2500 0.2500  4 Sc 3.09, 4 Al 3.09

## Properties
Energy above the most stable polymorph in this dataset ... 0.0699 eV/atom
Formation energy from raw total energies ... -0.157 eV per atom
V ... 363.3 Å³/cell

No. 8
The following is a DFT calculation (GGA-PBEsol) of a relaxed Re2TcTe crystal.

a b c (Å): 5.1491 8.3965 2.9632
angles (deg): 90.00 90.00 90.00
Last column: nearest neighbours and their distance in Å.
Space group Cmmm (No. 65)
Symmetry-distinct sites (fractional):
Re1 0.2500 0.2500 0.0000  2 Re 2.57, 4 Tc 2.87, 4 Te 2.87
Tc1 0.0000 0.0000 0.5000  2 Te 2.57, 8 Re 2.87
Te1 0.0000 0.5000 0.5000  2 Tc 2.57, 8 Re 2.87

## Properties
Formation energy from raw total energies ... 0.752 eV per atom
V ... 128.1 Å³/cell

No. 9
The following is a DFT calculation (GGA-PBEsol) of a relaxed MgTiCr2In crystal.

a b c (Å): 4.9975 4.9975 5.1140
angles (deg): 90.00 90.00 90.00
Last column: nearest neighbours and their distance in Å.
Space group P4/mmm (No. 123)
Symmetry-distinct sites (fractional):
Mg1 0.0000 0.0000 0.0000  4 Ti 3.53, 8 Cr 3.58
Ti1 0.5000 0.5000 0.0000  2 In 2.56
Cr1 0.0000 0.5000 0.5000  2 In 2.50
In1 0.5000 0.5000 0.5000  4 Cr 2.50, 2 Ti 2.56

## Properties
Calculated formation energy ... 1.41 eV/atom
V ... 127.7 Å³/cell

No. 10
The following is a DFT calculation (GGA-PBEsol) of a relaxed In3Ir crystal.

a b c (Å): 5.1172 5.1172 5.1172
angles (deg): 90.00 90.00 90.00
Last column: nearest neighbours and their distance in Å.
Space group Pm-3m (No. 221)
Symmetry-distinct sites (fractional):
In1 0.0000 0.0000 0.5000  2 Ir 2.56
Ir1 0.0000 0.0000 0.0000  6 In 2.56

## Properties
Calculated formation energy ... -0.04 eV/atom
V ... 134.0 Å³/cell

No. 11
The following is a DFT calculation (GGA-PBEsol) of a relaxed Sc2Tc crystal.

a b c (Å): 3.2508 3.2508 10.9520
angles (deg): 90.00 90.00 90.00
Last column: nearest neighbours and their distance in Å.
Space group I4/mmm (No. 139)
Symmetry-distinct sites (fractional):
Sc1 0.0000 0.0000 0.1358  4 Tc 2.74, 1 Sc 2.98
Tc1 0.0000 0.0000 0.5000  8 Sc 2.74

## Properties
Energy above the most stable polymorph in this dataset ... 0.0000 eV/atom
Calculated formation energy ... -0.17 eV/atom
V ... 115.7 Å³/cell

No. 12
The following is a DFT calculation (GGA-PBEsol) of a relaxed MgGa2Pd2 crystal.

a b c (Å): 7.1205 7.1205 3.0900
angles (deg): 90.00 90.00 90.00
Last column: nearest neighbours and their distance in Å.
Space group P4/mbm (No. 127)
Symmetry-distinct sites (fractional):
Mg1 0.0000 0.0000 0.0000  4 Pd 2.73
Ga1 0.1510 0.3490 0.5000  6 Pd 2.56-2.62
Pd1 0.1463 0.6463 0.0000  6 Ga 2.56-2.62, 2 Mg 2.73

## Properties
Calculated formation energy ... -0.59 eV/atom
V ... 156.7 Å³/cell

Looking at total magnetic moment for the records above, in order, we have 0.00, 0.00, 0.00, 0.00, 0.00, 0.01, 0.00, 0.00, 6.40, 0.00, 0.00, 0.00 μB/cell.